[1]
## TlHgAsPb2 (PBE)

Data for a geometry-optimized TlHgAsPb2 structure.

The structure belongs to space group P2_1/m (No. 11); the cell edges are 8.2861, 4.1957 and 8.8148 Å and the angles 90.00°, 94.46° and 90.00°. The inequivalent atoms are Tl at (0.1323, 0.2500, 0.1378), Hg at (0.3787, 0.2500, 0.4275), As at (0.2525, 0.7500, 0.9195), Pb at (0.1529, 0.7500, 0.5872) and Pb at (0.4733, 0.2500, 0.8217).

The calculated volume comes out at 305.5 Å³ per cell. The formation energy is 3 kJ per mole of atoms. The calculation puts the total moment at 0.00 μB/atom.



[2]
## HgAsPbW2 (PBE)

Data for a geometry-optimized HgAsPbW2 structure.

The structure belongs to space group P4/mmm (No. 123); the cell edges are 5.2600, 5.2600 and 5.1143 Å and the angles 90.00°, 90.00° and 90.00°. The inequivalent atoms are Hg at (0.0000, 0.0000, 0.0000), As at (0.0000, 0.0000, 0.5000), Pb at (0.5000, 0.5000, 0.5000) and W at (0.0000, 0.5000, 0.0000).

The calculated volume comes out at 141.5 Å³ per cell. The formation energy is 227 kJ per mole of atoms. The calculation puts the total moment at 1.09 μB/atom.



[3]
## Zn2HgAsPb (PBE)

Data for a geometry-optimized Zn2HgAsPb structure.

The structure belongs to space group P4/mmm (No. 123); the cell edges are 4.9296, 4.9296 and 5.6258 Å and the angles 90.00°, 90.00° and 90.00°. The inequivalent atoms are Zn at (0.0000, 0.5000, 0.0000), Hg at (0.0000, 0.0000, 0.0000), As at (0.0000, 0.0000, 0.5000) and Pb at (0.5000, 0.5000, 0.5000).

The calculated volume comes out at 136.7 Å³ per cell. The formation energy is 46 kJ per mole of atoms. The calculation puts the total moment at 0.00 μB/atom.



[4]
## HgAs2Pd (PBE)

Data for a geometry-optimized HgAs2Pd structure.

The structure belongs to space group R-3m (No. 166, hexagonal axes); the cell edges are 3.0548, 3.0548 and 31.1273 Å and the angles 90.00°, 90.00° and 120.00°. The inequivalent atoms are Hg at (0.0000, 0.0000, 0.0000), As at (0.0000, 0.0000, 0.1033) and Pd at (0.0000, 0.0000, 0.5000).

The calculated volume comes out at 251.6 Å³ per cell. The formation energy is -1 kJ per mole of atoms. The calculation puts the total moment at 0.00 μB/atom.



[5]
## HgAs2Pd2 (PBE)

Data for a geometry-optimized HgAs2Pd2 structure.

The structure belongs to space group P4/mbm (No. 127); the cell edges are 8.0120, 8.0120 and 2.8904 Å and the angles 90.00°, 90.00° and 90.00°. The inequivalent atoms are Hg at (0.0000, 0.0000, 0.0000), As at (0.1364, 0.3636, 0.0000) and Pd at (0.1495, 0.6495, 0.5000).

Its distance to the lowest polymorph of the same formula is 0.0447 eV per atom. The calculated volume comes out at 185.5 Å³ per cell. The formation energy is -5 kJ per mole of atoms. The calculation puts the total moment at 0.00 μB/atom.



[6]
## HgAs2Pd (PBE)

Data for a geometry-optimized HgAs2Pd structure.

The structure belongs to space group I-42d (No. 122); the cell edges are 5.9451, 5.9451 and 11.6692 Å and the angles 90.00°, 90.00° and 90.00°. The inequivalent atoms are Hg at (0.0000, 0.0000, 0.0000), As at (0.2050, 0.2500, 0.6250) and Pd at (0.0000, 0.0000, 0.5000).

The calculated volume comes out at 412.4 Å³ per cell. The formation energy is 13 kJ per mole of atoms. The calculation puts the total moment at 0.00 μB/atom.



Q: Which of these has the lowest calculated volume?
A: Zn2HgAsPb



Q: What is the formula in the second record?
A: HgAsPbW2



Please write out number 1 again, unchanged.
## TlHgAsPb2 (PBE)

Data for a geometry-optimized TlHgAsPb2 structure.

The structure belongs to space group P2_1/m (No. 11); the cell edges are 8.2861, 4.1957 and 8.8148 Å and the angles 90.00°, 94.46° and 90.00°. The inequivalent atoms are Tl at (0.1323, 0.2500, 0.1378), Hg at (0.3787, 0.2500, 0.4275), As at (0.2525, 0.7500, 0.9195), Pb at (0.1529, 0.7500, 0.5872) and Pb at (0.4733, 0.2500, 0.8217).

The calculated volume comes out at 305.5 Å³ per cell. The formation energy is 3 kJ per mole of atoms. The calculation puts the total moment at 0.00 μB/atom.